A relaxed structure of TbScCuRh, computed with PBE-GGA.

Structure (POSCAR):
```
TbScCuRh
1.0
-2.8374 -3.3519 -1.8342
-1.9182 -3.3064 2.8352
-4.6692 0.0712 0.9185
Cu Tb Rh Sc
1 1 1 1
Cartesian
-2.3562 -1.6468 0.4799 Cu
-4.7124 -3.2936 0.9598 Tb
-7.0686 -4.9403 1.4397 Rh
0.0000 0.0000 0.0000 Sc
```

Calculated values
Its calculated formation energy is -0.56 eV/atom. The calculation puts the volume at 76.2 Å³ per cell. The magnetization is 0.0 Bohr magnetons per cell.